Record 1
Density functional theory data (PBE-GGA) for crystalline TcSnMo2C at its relaxed geometry.

Computed properties:
calculated total energy = -8.909 eV/atom
energy of formation from the pure elements = 0.1420 eV per atom

abc: 4.1962 4.1962 4.1965
angles: 90.00 90.00 90.00
With the nearest neighbours (Å) after each atom.
Fractional coordinates of all 5 atoms:
Tc 0.0000 0.0000 0.0000  2 C 2.10
Sn 0.5000 0.5000 0.0000  4 Tc 2.97, 8 Mo 2.97
Mo 0.0000 0.5000 0.5000  2 C 2.10
Mo 0.5000 0.0000 0.5000  2 C 2.10
C 0.0000 0.0000 0.5000  4 Mo 2.10, 2 Tc 2.10

***

Record 2
Density functional theory data (PBE-GGA) for crystalline ScAg2As at its relaxed geometry.

Computed properties:
calculated total energy = -4.551 eV/atom
energy of formation from the pure elements = -0.3799 eV per atom

abc: 5.6511 5.6511 3.9372
angles: 95.01 95.01 39.44
With the nearest neighbours (Å) after each atom.
Fractional coordinates of all 4 atoms:
Sc 0.0000 0.0000 0.0000  4 As 2.74
Ag 0.2696 0.2696 0.7577  1 As 2.74, 4 Ag 2.76-2.79
Ag 0.7304 0.7304 0.2423  1 As 2.74, 4 Ag 2.76-2.79
As 0.5000 0.5000 0.5000  2 Ag 2.74, 4 Sc 2.74